Density functional theory data (PBE-GGA) for an optimized crystal structure of Tb2Pm3Sm6Tl.

Computed properties:
Spin magnetization = 0.000 μB per formula unit
Density = 7.89 g cm⁻³
Energy relative to the elements = -0.01 eV per atom

a = 6.2169 Å, b = 10.8043 Å, c = 11.8413 Å
α = 90.00°, β = 100.29°, γ = 90.00°
Space group C2/m (No. 12)
One atom of each set of equivalent atoms:
Tb (0.0000, 0.1657, 0.0000) (multiplicity 4)
Pm (0.0000, 0.0000, 0.5000) (multiplicity 2)
Pm (0.0000, 0.3317, 0.5000) (multiplicity 4)
Sm (0.2441, 0.3364, 0.2447) (multiplicity 8)
Sm (0.2462, 0.5000, 0.7531) (multiplicity 4)
Tl (0.0000, 0.5000, 0.0000) (multiplicity 2)



Density functional theory data (PBE-GGA) for an optimized crystal structure of LaTa2Pt2.

Computed properties:
Spin magnetization = 0.000 μB per formula unit
Density = 13.60 g cm⁻³
Energy relative to the lowest polymorph listed for this composition = 0.000 eV per atom
Energy relative to the elements = -0.49 eV per atom

a = 4.3393 Å, b = 4.3393 Å, c = 11.5524 Å
α = 90.00°, β = 90.00°, γ = 90.00°
Space group I4/mmm (No. 139)
One atom of each set of equivalent atoms:
La (0.0000, 0.0000, 0.0000) (multiplicity 2)
Ta (0.0000, 0.5000, 0.2500) (multiplicity 4)
Pt (0.0000, 0.0000, 0.3840) (multiplicity 4)



- Which of these has the highest density?
  LaTa2Pt2